[1]
Material: CsTmTeO
Method: DFT, GGA-PBE
State: optimized geometry

```
data_CsTmTeO
_space_group_name_H-M_alt 'P -3 m 1'
_space_group_IT_number 164
_space_group_name_Hall '-P 3 2"'
_cell_length_a 3.8672
_cell_length_b 3.8672
_cell_length_c 16.0921
_cell_angle_alpha 90.00
_cell_angle_beta 90.00
_cell_angle_gamma 120.00
loop_
_atom_site_label
_atom_site_type_symbol
_atom_site_fract_x
_atom_site_fract_y
_atom_site_fract_z
_atom_site_occupancy
Cs1 Cs 0.3333 0.6667 0.2984 1
Tm1 Tm 0.0000 0.0000 0.0000 1
Tm2 Tm 0.0000 0.0000 0.5000 1
Te1 Te 0.3333 0.6667 0.8805 1
O1 O 0.3333 0.6667 0.5620 1
```

Computed properties:
energy	-0.18702	hartree per atom
total magnetization	0.0	μB per formula unit
energy above the lowest structure with this stoichiometry	1.66	eV/f.u.

***

[2]
Material: BaLi3Pr2Pb3
Method: DFT, GGA-PBE
State: optimized geometry

```
data_BaLi3Pr2Pb3
_space_group_name_H-M_alt 'P -6 m 2'
_space_group_IT_number 187
_space_group_name_Hall 'P -6 2'
_cell_length_a 4.9513
_cell_length_b 4.9513
_cell_length_c 12.2713
_cell_angle_alpha 90.00
_cell_angle_beta 90.00
_cell_angle_gamma 120.00
loop_
_atom_site_label
_atom_site_type_symbol
_atom_site_fract_x
_atom_site_fract_y
_atom_site_fract_z
_atom_site_occupancy
Ba1 Ba 0.0000 0.0000 0.0000 1
Li1 Li 0.3333 0.6667 0.2100 1
Li2 Li 0.6667 0.3333 0.5000 1
Pr1 Pr 0.0000 0.0000 0.3411 1
Pb1 Pb 0.3333 0.6667 0.5000 1
Pb2 Pb 0.6667 0.3333 0.2039 1
```

Computed properties:
energy	-0.13455	hartree per atom
total magnetization	0.0	μB per formula unit

***

[3]
Material: HgGeSb
Method: DFT, GGA-PBE
State: optimized geometry

```
data_HgGeSb
_space_group_name_H-M_alt 'F -4 3 m'
_space_group_IT_number 216
_space_group_name_Hall 'F -4 2 3'
_cell_length_a 6.9370
_cell_length_b 6.9370
_cell_length_c 6.9370
_cell_angle_alpha 90.00
_cell_angle_beta 90.00
_cell_angle_gamma 90.00
loop_
_atom_site_label
_atom_site_type_symbol
_atom_site_fract_x
_atom_site_fract_y
_atom_site_fract_z
_atom_site_occupancy
Hg1 Hg 0.0000 0.0000 0.0000 1
Ge1 Ge 0.2500 0.2500 0.2500 1
Sb1 Sb 0.0000 0.0000 0.5000 1
```

Computed properties:
energy	-0.10182	hartree per atom
energy above the lowest structure with this stoichiometry	0.00	eV/f.u.

***

[4]
Material: CsRbCo
Method: DFT, GGA-PBE
State: optimized geometry

```
data_CsRbCo
_space_group_name_H-M_alt 'F -4 3 m'
_space_group_IT_number 216
_space_group_name_Hall 'F -4 2 3'
_cell_length_a 8.8981
_cell_length_b 8.8981
_cell_length_c 8.8981
_cell_angle_alpha 90.00
_cell_angle_beta 90.00
_cell_angle_gamma 90.00
loop_
_atom_site_label
_atom_site_type_symbol
_atom_site_fract_x
_atom_site_fract_y
_atom_site_fract_z
_atom_site_occupancy
Cs1 Cs 0.0000 0.0000 0.0000 1
Rb1 Rb 0.0000 0.0000 0.5000 1
Co1 Co 0.2500 0.2500 0.2500 1
```

Computed properties:
energy	-0.07104	hartree per atom
total magnetization	1.2	μB per formula unit
energy above the lowest structure with this stoichiometry	0.00	eV/f.u.

***

[5]
Material: ZrF4
Method: DFT, GGA-PBE
State: optimized geometry

```
data_ZrF4
_space_group_name_H-M_alt 'P 42/m'
_space_group_IT_number 84
_space_group_name_Hall '-P 4c'
_cell_length_a 7.8035
_cell_length_b 7.8035
_cell_length_c 7.6456
_cell_angle_alpha 90.00
_cell_angle_beta 90.00
_cell_angle_gamma 90.00
loop_
_atom_site_label
_atom_site_type_symbol
_atom_site_fract_x
_atom_site_fract_y
_atom_site_fract_z
_atom_site_occupancy
Zr1 Zr 0.1823 0.6838 0.2303 1
F1 F 0.0000 0.5000 0.3053 1
F2 F 0.0592 0.2091 0.1839 1
F3 F 0.1622 0.2113 0.5000 1
F4 F 0.1670 0.5330 0.0000 1
F5 F 0.2042 0.6823 0.5000 1
F6 F 0.3014 0.4415 0.2992 1
```

Computed properties:
energy	-0.25122	hartree per atom
total magnetization	0.0	μB per formula unit

***

[6]
Material: LaPr2Cu2Ge4Pt2
Method: DFT, GGA-PBE
State: optimized geometry

```
data_LaPr2Cu2Ge4Pt2
_space_group_name_H-M_alt 'I m m m'
_space_group_IT_number 71
_space_group_name_Hall '-I 2 2'
_cell_length_a 4.2696
_cell_length_b 4.3012
_cell_length_c 24.7420
_cell_angle_alpha 90.00
_cell_angle_beta 90.00
_cell_angle_gamma 90.00
loop_
_atom_site_label
_atom_site_type_symbol
_atom_site_fract_x
_atom_site_fract_y
_atom_site_fract_z
_atom_site_occupancy
La1 La 0.0000 0.0000 0.0000 1
Pr1 Pr 0.0000 0.5000 0.3515 1
Cu1 Cu 0.0000 0.5000 0.0956 1
Ge1 Ge 0.0000 0.0000 0.4481 1
Ge2 Ge 0.0000 0.5000 0.1929 1
Pt1 Pt 0.0000 0.0000 0.2491 1
```

Computed properties:
energy	-0.20330	hartree per atom
total magnetization	0.0	μB per formula unit

***

[7]
Material: SrReB4
Method: DFT, GGA-PBE
State: optimized geometry

```
data_SrReB4
_space_group_name_H-M_alt 'P 6/m m m'
_space_group_IT_number 191
_space_group_name_Hall '-P 6 2'
_cell_length_a 3.0931
_cell_length_b 3.0931
_cell_length_c 7.7087
_cell_angle_alpha 90.00
_cell_angle_beta 90.00
_cell_angle_gamma 120.00
loop_
_atom_site_label
_atom_site_type_symbol
_atom_site_fract_x
_atom_site_fract_y
_atom_site_fract_z
_atom_site_occupancy
Sr1 Sr 0.0000 0.0000 0.0000 1
Re1 Re 0.0000 0.0000 0.5000 1
B1 B 0.3333 0.6667 0.2888 1
```

Computed properties:
energy	-0.24829	hartree per atom
total magnetization	0.0	μB per formula unit
energy above the lowest structure with this stoichiometry	0.00	eV/f.u.

***

[8]
Material: Na2ZnB6O11
Method: DFT, GGA-PBE
State: optimized geometry

```
data_Na2ZnB6O11
_space_group_name_H-M_alt 'C 1 c 1'
_space_group_IT_number 9
_space_group_name_Hall 'C -2yc'
_cell_length_a 10.6011
_cell_length_b 7.3464
_cell_length_c 11.4213
_cell_angle_alpha 90.00
_cell_angle_beta 112.22
_cell_angle_gamma 90.00
loop_
_atom_site_label
_atom_site_type_symbol
_atom_site_fract_x
_atom_site_fract_y
_atom_site_fract_z
_atom_site_occupancy
Na1 Na 0.0000 0.0844 0.0000 1
Na2 Na 0.2118 0.4138 0.9322 1
Zn1 Zn 0.3559 0.1419 0.7159 1
B1 B 0.0921 0.4765 0.1158 1
B2 B 0.1199 0.0232 0.8160 1
B3 B 0.2368 0.2053 0.2288 1
B4 B 0.2632 0.2075 0.4542 1
B5 B 0.4482 0.2066 0.9778 1
B6 B 0.4755 0.2051 0.2033 1
O1 O 0.0311 0.4478 0.4950 1
O2 O 0.0425 0.1728 0.8107 1
O3 O 0.0683 0.4535 0.7158 1
O4 O 0.1435 0.0475 0.2159 1
O5 O 0.1703 0.3277 0.1216 1
O6 O 0.1798 0.0534 0.4367 1
O7 O 0.2735 0.2950 0.3517 1
O8 O 0.3329 0.2780 0.5694 1
O9 O 0.3560 0.1222 0.2157 1
O10 O 0.3777 0.2765 0.8626 1
O11 O 0.4390 0.2952 0.0805 1
```

Computed properties:
energy	-0.26530	hartree per atom

***

[9]
Material: SrBiPtAu
Method: DFT, GGA-PBE
State: optimized geometry

```
data_SrBiPtAu
_space_group_name_H-M_alt 'F -4 3 m'
_space_group_IT_number 216
_space_group_name_Hall 'F -4 2 3'
_cell_length_a 7.2703
_cell_length_b 7.2703
_cell_length_c 7.2703
_cell_angle_alpha 90.00
_cell_angle_beta 90.00
_cell_angle_gamma 90.00
loop_
_atom_site_label
_atom_site_type_symbol
_atom_site_fract_x
_atom_site_fract_y
_atom_site_fract_z
_atom_site_occupancy
Sr1 Sr 0.0000 0.0000 0.0000 1
Bi1 Bi 0.0000 0.0000 0.5000 1
Pt1 Pt 0.2500 0.2500 0.7500 1
Au1 Au 0.2500 0.2500 0.2500 1
```

Computed properties:
energy	-0.15475	hartree per atom
total magnetization	0.0	μB per formula unit
energy above the lowest structure with this stoichiometry	0.00	eV/f.u.

***

[10]
Material: ZrCoTcSn
Method: DFT, GGA-PBE
State: optimized geometry

```
data_ZrCoTcSn
_space_group_name_H-M_alt 'F -4 3 m'
_space_group_IT_number 216
_space_group_name_Hall 'F -4 2 3'
_cell_length_a 6.4950
_cell_length_b 6.4950
_cell_length_c 6.4950
_cell_angle_alpha 90.00
_cell_angle_beta 90.00
_cell_angle_gamma 90.00
loop_
_atom_site_label
_atom_site_type_symbol
_atom_site_fract_x
_atom_site_fract_y
_atom_site_fract_z
_atom_site_occupancy
Zr1 Zr 0.0000 0.0000 0.0000 1
Co1 Co 0.0000 0.0000 0.5000 1
Tc1 Tc 0.2500 0.2500 0.7500 1
Sn1 Sn 0.2500 0.2500 0.2500 1
```

Computed properties:
energy	-0.26884	hartree per atom
total magnetization	2.8	μB per formula unit
energy above the lowest structure with this stoichiometry	1.89	eV/f.u.

***

[11]
Material: MgAg
Method: DFT, GGA-PBE
State: optimized geometry

```
data_MgAg
_space_group_name_H-M_alt 'P n m a'
_space_group_IT_number 62
_space_group_name_Hall '-P 2ac 2n'
_cell_length_a 5.2852
_cell_length_b 4.8008
_cell_length_c 5.7235
_cell_angle_alpha 90.00
_cell_angle_beta 90.00
_cell_angle_gamma 90.00
loop_
_atom_site_label
_atom_site_type_symbol
_atom_site_fract_x
_atom_site_fract_y
_atom_site_fract_z
_atom_site_occupancy
Mg1 Mg 0.1150 0.2500 0.1226 1
Ag1 Ag 0.0946 0.2500 0.6267 1
```

Computed properties:
energy	-0.08802	hartree per atom

***

[12]
Material: LaCuSnTeS2
Method: DFT, GGA-PBE
State: optimized geometry

```
data_LaCuSnTeS2
_space_group_name_H-M_alt 'C m c m'
_space_group_IT_number 63
_space_group_name_Hall '-C 2c 2'
_cell_length_a 4.1148
_cell_length_b 13.6598
_cell_length_c 11.4982
_cell_angle_alpha 90.00
_cell_angle_beta 90.00
_cell_angle_gamma 90.00
loop_
_atom_site_label
_atom_site_type_symbol
_atom_site_fract_x
_atom_site_fract_y
_atom_site_fract_z
_atom_site_occupancy
La1 La 0.0000 0.0000 0.0000 1
Cu1 Cu 0.0000 0.4813 0.2500 1
Sn1 Sn 0.0000 0.2054 0.7500 1
Te1 Te 0.0000 0.1070 0.2500 1
S1 S 0.0000 0.3752 0.0908 1
```

Computed properties:
energy	-0.18220	hartree per atom
total magnetization	0.0	μB per formula unit